The following is a DFT calculation (PBEsol) of an optimized crystal structure of KNa7V8O24.

Calculated values
* ΔE_f (raw): -2.293 eV/atom
* DOS at the Fermi energy: 0.000 states/eV per atom

a b c (Å): 5.8655 9.6778 10.3763
angles (deg): 90.00 104.44 90.00
Element x y z (fractional)
O  0.7851  0.1036  0.8744
O  0.7120  0.2450  0.6422
O  0.0827  0.9906  0.3477
O  0.2193  0.7402  0.1426
O  0.2830  0.5867  0.3670
O  0.2807  0.2526  0.8568
O  0.0644  0.5024  0.8580
O  0.4190  0.0143  0.6555
O  0.2814  0.9040  0.8779
O  0.9356  0.5024  0.1420
O  0.2880  0.2450  0.3578
O  0.7193  0.2526  0.1432
O  0.9173  0.9906  0.6523
O  0.7170  0.5867  0.6330
O  0.7916  0.4023  0.3697
O  0.5810  0.0143  0.3445
O  0.7186  0.9040  0.1221
O  0.4376  0.4889  0.1448
O  0.7807  0.7402  0.8574
O  0.5624  0.4889  0.8552
O  0.8003  0.7595  0.3503
O  0.2149  0.1036  0.1256
O  0.2084  0.4023  0.6303
O  0.1997  0.7595  0.6497
K  0.5000  0.7998  0.5000
V  0.2185  0.5826  0.2026
V  0.2044  0.9149  0.7134
V  0.7815  0.5826  0.7974
V  0.7211  0.4090  0.2047
V  0.7068  0.0921  0.7101
V  0.2789  0.4090  0.7953
V  0.2932  0.0921  0.2899
V  0.7956  0.9149  0.2866
Na  0.0000  0.5892  0.5000
Na  0.0000  0.2203  0.5000
Na  0.0000  0.9101  0.0000
Na  0.5000  0.0905  0.0000
Na  0.5000  0.7198  0.0000
Na  0.5000  0.4090  0.5000
Na  0.0000  0.2842  0.0000